Record 1
3
Lattice="2.879 0.000 0.000 0.000 3.718 0.000 0.000 0.000 2.637" Properties=species:S:1:pos:R:3 comment="CoNiC | Alexandria | PBE-GGA | relaxed" formation_enthalpy_0k_ev_per_atom=0.3329 volume_a3_per_atom=9.4 pbc="T T T"
Co 0.000 0.000 0.000
Ni 1.439 1.859 1.448
C 1.439 0.000 1.235

Record 2
10
Lattice="6.264 0.000 0.000 0.000 6.264 0.000 0.000 0.000 3.891" Properties=species:S:1:pos:R:3 comment="Fe2PtAu2 | Alexandria | PBE-GGA | relaxed" formation_enthalpy_0k_ev_per_atom=0.5218 volume_a3_per_atom=15.3 pbc="T T T"
Fe 0.730 2.402 0.000
Fe 2.402 5.534 0.000
Fe 3.862 0.730 0.000
Fe 5.534 3.862 0.000
Pt 0.000 0.000 0.000
Pt 3.132 3.132 0.000
Au 1.106 4.238 1.945
Au 2.026 1.106 1.945
Au 4.238 5.158 1.945
Au 5.158 2.026 1.945

Record 3
6
Lattice="2.797 -8.210 0.000 2.797 8.210 0.000 0.000 0.000 3.892" Properties=species:S:1:pos:R:3 comment="Tl5Cd | Alexandria | PBE-GGA | relaxed" formation_enthalpy_0k_ev_per_atom=0.0238 volume_a3_per_atom=29.8 pbc="T T T"
Tl 0.000 0.000 0.000
Tl 2.797 5.356 1.946
Tl 2.797 2.514 0.000
Tl 2.797 -2.514 0.000
Tl 2.797 -5.356 1.946
Cd 2.797 0.000 1.946

Record 4
11
Lattice="2.932 -5.099 0.000 2.932 5.099 0.000 -0.088 0.000 5.603" Properties=species:S:1:pos:R:3 comment="Mn2V2CoS6 | Alexandria | PBE-GGA | relaxed" raw_formation_energy_ev_per_atom=-0.62 volume_a3_per_atom=15.2 pbc="T T T"
Mn 2.932 3.376 0.000
Mn 2.932 -3.376 0.000
V 2.888 3.511 2.801
V 2.888 -3.511 2.801
Co 2.888 0.000 2.801
S 1.968 1.664 1.461
S 0.996 0.000 4.234
S 3.809 1.664 4.141
S 1.968 -1.664 1.461
S 4.781 0.000 1.369
S 3.809 -1.664 4.141